Material: FeC3O
Method: DFT, PBE+U
State: relaxed

a b c (Å): 3.5810 3.5810 3.5810
angles (deg): 90.00 90.00 90.00
Each line ends with the local moment (μB).
Positions (direct):
1 O 0.0000 0.0000 0.0000  -0.10
2 C 0.5000 0.0000 0.0000  -0.04
3 C 0.0000 0.0000 0.5000  -0.14
4 C 0.0000 0.5000 0.0000  -0.12
5 Fe 0.5000 0.5000 0.5000  3.83

Values from the calculation:
VASP energy: -23.3 eV per cell